1.
This record from the Alexandria database describes crystalline YZrRu at its relaxed geometry. The functional is PBE-GGA.

Distance to the lowest polymorph of the same formula: 70 meV/atom
DFT formation energy: -0.2727 eV/atom

a = 3.371 Å, b = 3.371 Å, c = 11.548 Å
α = 90.00°, β = 90.00°, γ = 90.00°
Space group I4mm (No. 107)
One atom of each set of equivalent atoms:
Y (0.000, 0.000, 0.000) x2
Zr (0.000, 0.000, 0.285) x2
Ru (0.000, 0.000, 0.662) x2


2.
This record from the Alexandria database describes crystalline YZrRu at its relaxed geometry. The functional is PBE-GGA.

Distance to the lowest polymorph of the same formula: 0 meV/atom
DFT formation energy: -0.3432 eV/atom

a = 4.558 Å, b = 12.289 Å, c = 7.096 Å
α = 90.00°, β = 90.00°, γ = 90.00°
Space group Amm2 (No. 38)
One atom of each set of equivalent atoms:
Y (0.000, 0.000, 0.000) x2
Y (0.000, 0.209, 0.374) x4
Zr (0.500, 0.000, 0.328) x2
Zr (0.500, 0.127, 0.710) x4
Ru (0.000, 0.000, 0.582) x2
Ru (0.500, 0.167, 0.082) x4


3.
This record from the Alexandria database describes crystalline Y4ZrRu at its relaxed geometry. The functional is PBE-GGA.

DFT formation energy: 0.7939 eV/atom

a = 8.614 Å, b = 8.614 Å, c = 8.614 Å
α = 90.00°, β = 90.00°, γ = 90.00°
Space group F-43m (No. 216)
One atom of each set of equivalent atoms:
Y (0.125, 0.125, 0.125) x16
Zr (0.250, 0.250, 0.750) x4
Ru (0.000, 0.000, 0.500) x4


4.
This record from the Alexandria database describes crystalline YZrRu2 at its relaxed geometry. The functional is PBE-GGA.

DFT formation energy: -0.4589 eV/atom

a = 4.726 Å, b = 4.726 Å, c = 3.328 Å
α = 90.00°, β = 90.00°, γ = 90.00°
Space group P4/mmm (No. 123)
One atom of each set of equivalent atoms:
Y (0.000, 0.000, 0.000) x1
Zr (0.500, 0.500, 0.000) x1
Ru (0.000, 0.500, 0.500) x2


5.
This record from the Alexandria database describes crystalline YZrRu3 at its relaxed geometry. The functional is PBE-GGA.

Distance to the lowest polymorph of the same formula: 0 meV/atom
DFT formation energy: 0.8052 eV/atom

a = 4.801 Å, b = 4.801 Å, c = 4.801 Å
α = 90.00°, β = 90.00°, γ = 90.00°
Space group Pm-3m (No. 221)
One atom of each set of equivalent atoms:
Y (0.000, 0.000, 0.000) x1
Zr (0.500, 0.500, 0.500) x1
Ru (0.000, 0.500, 0.500) x3


6.
This record from the Alexandria database describes crystalline YZrRu2 at its relaxed geometry. The functional is PBE-GGA.

DFT formation energy: 0.0154 eV/atom

a = 3.670 Å, b = 3.670 Å, c = 5.921 Å
α = 90.00°, β = 90.00°, γ = 90.00°
Space group P4mm (No. 99)
One atom of each set of equivalent atoms:
Y (0.000, 0.000, 0.000) x1
Zr (0.500, 0.500, 0.379) x1
Ru (0.000, 0.000, 0.513) x1
Ru (0.500, 0.500, 0.821) x1


7.
This record from the Alexandria database describes crystalline Y3ZrRu at its relaxed geometry. The functional is PBE-GGA.

Distance to the lowest polymorph of the same formula: 0 meV/atom
DFT formation energy: 0.2055 eV/atom

a = 5.316 Å, b = 5.316 Å, c = 5.316 Å
α = 90.00°, β = 90.00°, γ = 90.00°
Space group Pm-3m (No. 221)
One atom of each set of equivalent atoms:
Y (0.000, 0.000, 0.500) x3
Zr (0.500, 0.500, 0.500) x1
Ru (0.000, 0.000, 0.000) x1


8.
This record from the Alexandria database describes crystalline YZrRu2 at its relaxed geometry. The functional is PBE-GGA.

DFT formation energy: -0.0799 eV/atom

a = 8.426 Å, b = 3.292 Å, c = 5.836 Å
α = 90.00°, β = 102.83°, γ = 90.00°
Space group C2/m (No. 12)
One atom of each set of equivalent atoms:
Y (0.000, 0.000, 0.000) x2
Zr (0.000, 0.500, 0.500) x2
Ru (0.244, 0.000, 0.713) x4


9.
This record from the Alexandria database describes crystalline YZr3Ru4 at its relaxed geometry. The functional is PBE-GGA.

DFT formation energy: -0.5745 eV/atom

a = 4.6709 Å, b = 4.6709 Å, c = 23.0218 Å
α = 90.00°, β = 90.00°, γ = 120.00°
Space group R-3m (No. 166, hexagonal axes)
One atom of each set of equivalent atoms:
Y (0.0000, 0.0000, 0.0000) x3
Zr (0.0000, 0.0000, 0.2490) x6
Zr (0.0000, 0.0000, 0.5000) x3
Ru (0.0000, 0.0000, 0.1278) x6
Ru (0.0000, 0.0000, 0.3786) x6


10.
This record from the Alexandria database describes crystalline YZrRu2 at its relaxed geometry. The functional is PBE-GGA.

DFT formation energy: 0.1033 eV/atom

a = 3.035 Å, b = 3.035 Å, c = 8.620 Å
α = 90.00°, β = 90.00°, γ = 90.00°
Space group P4mm (No. 99)
One atom of each set of equivalent atoms:
Y (0.000, 0.000, 0.000) x1
Zr (0.500, 0.500, 0.346) x1
Ru (0.000, 0.000, 0.580) x1
Ru (0.500, 0.500, 0.752) x1


11.
This record from the Alexandria database describes crystalline YZrRu at its relaxed geometry. The functional is PBE-GGA.

Distance to the lowest polymorph of the same formula: 207 meV/atom
DFT formation energy: -0.1365 eV/atom

a = 4.6458 Å, b = 4.6458 Å, c = 3.3753 Å
α = 90.00°, β = 90.00°, γ = 120.00°
Space group P3m1 (No. 156)
One atom of each set of equivalent atoms:
Y (0.0000, 0.0000, 0.0000) x1
Zr (0.6667, 0.3333, 0.4267) x1
Ru (0.3333, 0.6667, 0.6737) x1


12.
This record from the Alexandria database describes crystalline YZr2Ru2 at its relaxed geometry. The functional is PBE-GGA.

Distance to the lowest polymorph of the same formula: 353 meV/atom
DFT formation energy: 0.0187 eV/atom

a = 4.488 Å, b = 4.488 Å, c = 10.904 Å
α = 90.00°, β = 90.00°, γ = 90.00°
Space group I4/mmm (No. 139)
One atom of each set of equivalent atoms:
Y (0.000, 0.000, 0.000) x2
Zr (0.000, 0.000, 0.371) x4
Ru (0.000, 0.500, 0.250) x4


13.
This record from the Alexandria database describes crystalline YZrRu2 at its relaxed geometry. The functional is PBE-GGA.

DFT formation energy: 0.4034 eV/atom

a = 3.0346 Å, b = 3.0346 Å, c = 29.0460 Å
α = 90.00°, β = 90.00°, γ = 120.00°
Space group R3m (No. 160, hexagonal axes)
One atom of each set of equivalent atoms:
Y (0.0000, 0.0000, 0.0000) x3
Zr (0.0000, 0.0000, 0.2337) x3
Ru (0.0000, 0.0000, 0.4859) x3
Ru (0.0000, 0.0000, 0.7517) x3


14.
This record from the Alexandria database describes crystalline YZrRu2 at its relaxed geometry. The functional is PBE-GGA.

DFT formation energy: -0.5015 eV/atom

a = 3.322 Å, b = 3.335 Å, c = 6.747 Å
α = 90.00°, β = 90.00°, γ = 90.00°
Space group Pmmm (No. 47)
One atom of each set of equivalent atoms:
Y (0.000, 0.000, 0.000) x1
Zr (0.000, 0.000, 0.500) x1
Ru (0.500, 0.500, 0.269) x2


15.
This record from the Alexandria database describes crystalline Yb3Ru at its relaxed geometry. The functional is PBE-GGA.

DFT formation energy: 0.0380 eV/atom

a = 7.246 Å, b = 7.246 Å, c = 7.246 Å
α = 90.00°, β = 90.00°, γ = 90.00°
Space group Fm-3m (No. 225)
One atom of each set of equivalent atoms:
Yb (0.000, 0.000, 0.000) x4
Yb (0.250, 0.250, 0.250) x8
Ru (0.000, 0.000, 0.500) x4


16.
This record from the Alexandria database describes crystalline Zn2Ru at its relaxed geometry. The functional is PBE-GGA.

DFT formation energy: 0.0517 eV/atom

a = 4.421 Å, b = 4.421 Å, c = 2.686 Å
α = 90.00°, β = 90.00°, γ = 90.00°
Space group P4/mmm (No. 123)
One atom of each set of equivalent atoms:
Zn (0.000, 0.500, 0.000) x2
Ru (0.000, 0.000, 0.500) x1


17.
This record from the Alexandria database describes crystalline ZnRu4 at its relaxed geometry. The functional is PBE-GGA.

Distance to the lowest polymorph of the same formula: 348 meV/atom
DFT formation energy: 0.4889 eV/atom

a = 3.724 Å, b = 3.724 Å, c = 11.576 Å
α = 90.00°, β = 90.00°, γ = 90.00°
Space group I4/mmm (No. 139)
One atom of each set of equivalent atoms:
Zn (0.000, 0.000, 0.000) x2
Ru (0.000, 0.000, 0.400) x4
Ru (0.000, 0.500, 0.250) x4


18.
This record from the Alexandria database describes crystalline ZnRu at its relaxed geometry. The functional is PBE-GGA.

DFT formation energy: 0.1581 eV/atom

a = 7.603 Å, b = 7.603 Å, c = 4.321 Å
α = 90.00°, β = 90.00°, γ = 90.00°
Space group I4/mmm (No. 139)
One atom of each set of equivalent atoms:
Zn (0.000, 0.280, 0.000) x8
Ru (0.165, 0.165, 0.500) x8


19.
This record from the Alexandria database describes crystalline Zn2Ru at its relaxed geometry. The functional is PBE-GGA.

DFT formation energy: 0.0343 eV/atom

a = 3.089 Å, b = 3.183 Å, c = 8.570 Å
α = 90.00°, β = 90.00°, γ = 90.00°
Space group Immm (No. 71)
One atom of each set of equivalent atoms:
Zn (0.000, 0.000, 0.163) x4
Ru (0.000, 0.000, 0.500) x2


20.
This record from the Alexandria database describes crystalline ZnRu at its relaxed geometry. The functional is PBE-GGA.

DFT formation energy: 1.2467 eV/atom

a = 7.737 Å, b = 7.737 Å, c = 7.737 Å
α = 90.00°, β = 90.00°, γ = 90.00°
Space group I-43m (No. 217)
One atom of each set of equivalent atoms:
Zn (0.199, 0.199, 0.199) x8
Ru (0.116, 0.116, 0.884) x8


no.,total magnetic moment (Bohr magnetons per cell)
1,2.3
2,0.0
3,0.0
4,0.0
5,0.0
6,0.0
7,2.4
8,0.0
9,0.0
10,0.0
11,0.0
12,0.0
13,0.0
14,0.0
15,1.9
16,0.0
17,0.0
18,0.0
19,0.0
20,5.0